[1]
Here is Ca2SnP2 after structural relaxation from Alexandria. Energies are from PBE.

- Space-group type: No. 62
- D(E_F): 9.106 states/eV per cell
- Offset from the most stable computed form: 54 meV/atom
- Electronic total energy: -0.32678 Ry/atom

Geometry as POSCAR:
```
Ca2SnP2
1.0
-4.967 2.936 0.060
-0.663 -1.305 8.990
5.002 8.428 1.592
P Sn Ca
8 4 8
direct
0.750 0.465 0.834
0.750 0.862 0.096
0.750 0.965 0.666
0.250 0.638 0.596
0.750 0.362 0.404
0.250 0.535 0.166
0.250 0.035 0.334
0.250 0.138 0.904
0.750 0.267 0.640
0.750 0.767 0.860
0.250 0.233 0.140
0.250 0.733 0.360
0.250 0.455 0.845
0.750 0.132 0.931
0.750 0.632 0.569
0.250 0.868 0.069
0.250 0.955 0.655
0.750 0.045 0.345
0.250 0.368 0.431
0.750 0.545 0.155
```


[2]
Here is Ca6In5Sn after structural relaxation from Alexandria. Energies are from PBE.

- Space-group type: No. 65
- D(E_F): 4.427 states/eV per cell
- Electronic total energy: -0.21875 Ry/atom

Geometry as POSCAR:
```
Ca6In5Sn
1.0
5.148 -0.031 1.716
0.042 7.744 0.014
-0.010 -0.015 8.611
In Ca Sn
5 6 1
direct
0.332 0.500 0.335
0.000 0.500 0.000
0.668 0.500 0.665
0.327 0.000 0.346
0.673 0.000 0.654
0.500 0.246 0.000
0.165 0.749 0.670
0.835 0.251 0.330
0.165 0.251 0.670
0.835 0.749 0.330
0.500 0.754 0.000
0.000 0.000 0.000
```


Number 1: density 3.32 Mg/m³. Number 2: density 4.51 Mg/m³.